{
  "formula": "HfS2F",
  "functional": "SCAN",
  "state": "single point on PBEsol structure",
  "lattice_angstrom": [[3.5835, 0.0000, 0.0000], [1.7918, 3.1034, 0.0000], [1.7918, 1.0345, 6.9948]],
  "species": ["S", "S", "F", "Hf"],
  "fractional_positions": [[0.0984, 0.0984, 0.7047], [0.9016, 0.9016, 0.2953], [0.0000, 0.0000, 0.0000], [0.5000, 0.5000, 0.5000]],
  "e_form_raw_mev_per_atom": -1366,
  "space_group": "R-3m"
}